P:
Sc2ZnPdC | PBE-GGA | optimized geometry

The total magnetic moment is 0.00 μB per atom. The value obtained for the density of states at the Fermi level is 0.8050 states/eV per atom.

It has space group P4/mmm (No. 123), with a = 4.5321 Å, b = 4.5321 Å, c = 3.9177 Å, α = 90.00°, β = 90.00° and γ = 90.00°. The asymmetric unit holds Sc at (0.0000, 0.5000, 0.0000), Zn at (0.0000, 0.0000, 0.5000), Pd at (0.5000, 0.5000, 0.5000) and C at (0.0000, 0.0000, 0.0000).

Q:
Sc2ZnPdC | PBE-GGA | optimized geometry

The total magnetic moment is 0.00 μB per atom. The value obtained for the density of states at the Fermi level is 0.8382 states/eV per atom.

It has space group P4/mmm (No. 123), with a = 4.4807 Å, b = 4.4807 Å, c = 4.1125 Å, α = 90.00°, β = 90.00° and γ = 90.00°. The asymmetric unit holds Sc at (0.0000, 0.5000, 0.0000), Zn at (0.0000, 0.0000, 0.5000), Pd at (0.5000, 0.5000, 0.5000) and C at (0.5000, 0.5000, 0.0000).

Of them, Q has the lowest stability.

P:
Pd2CSe | PBE-GGA | optimized geometry

The total magnetic moment is 0.00 μB per atom. The value obtained for the density of states at the Fermi level is 0.6078 states/eV per atom.

It has space group Fm-3m (No. 225), with a = 6.0873 Å, b = 6.0873 Å, c = 6.0873 Å, α = 90.00°, β = 90.00° and γ = 90.00°. The asymmetric unit holds Pd at (0.2500, 0.2500, 0.2500), C at (0.0000, 0.0000, 0.0000) and Se at (0.0000, 0.0000, 0.5000).

Q:
Pd2CSe | PBE-GGA | optimized geometry

The total magnetic moment is 0.00 μB per atom. The value obtained for the density of states at the Fermi level is 0.3387 states/eV per atom.

It has space group I-42d (No. 122), with a = 4.8911 Å, b = 4.8911 Å, c = 11.5058 Å, α = 90.00°, β = 90.00° and γ = 90.00°. The asymmetric unit holds Pd at (0.1514, 0.2500, 0.1250), C at (0.0000, 0.0000, 0.0000) and Se at (0.0000, 0.0000, 0.5000).

Of them, P has the lowest stability.

P:
Pd3CSe | PBE-GGA | optimized geometry

The total magnetic moment is 0.08 μB per atom. The value obtained for the density of states at the Fermi level is 0.6174 states/eV per atom.

It has space group Pm-3m (No. 221), with a = 4.6623 Å, b = 4.6623 Å, c = 4.6623 Å, α = 90.00°, β = 90.00° and γ = 90.00°. The asymmetric unit holds Pd at (0.0000, 0.0000, 0.5000), C at (0.5000, 0.5000, 0.5000) and Se at (0.0000, 0.0000, 0.0000).

Q:
Pd3CSe | PBE-GGA | optimized geometry

The total magnetic moment is 0.00 μB per atom. The value obtained for the density of states at the Fermi level is 0.4286 states/eV per atom.

It has space group Pm-3m (No. 221), with a = 4.2039 Å, b = 4.2039 Å, c = 4.2039 Å, α = 90.00°, β = 90.00° and γ = 90.00°. The asymmetric unit holds Pd at (0.0000, 0.0000, 0.5000), C at (0.0000, 0.0000, 0.0000) and Se at (0.5000, 0.5000, 0.5000).

Of them, P has the lowest stability.